Version 1
Computed, not measured: a relaxed structure of ZnBiPO at the PBE-GGA level of DFT.

```
data_ZnBiPO
_chemical_formula_sum 'Zn4 Bi4 P4 O4'
_symmetry_space_group_name_H-M 'P 1'
_symmetry_Int_Tables_number 1
_symmetry_space_group_name_Hall 'P 1'
_cell_length_a 6.0415
_cell_length_b 6.9200
_cell_length_c 7.3135
_cell_angle_alpha 90.00
_cell_angle_beta 90.00
_cell_angle_gamma 90.00
loop_
_atom_site_label
_atom_site_type_symbol
_atom_site_fract_x
_atom_site_fract_y
_atom_site_fract_z
_atom_site_occupancy
Bi1 Bi 0.9436 0.9216 0.1468 1
Bi2 Bi 0.0564 0.4216 0.3532 1
Bi3 Bi 0.5564 0.0784 0.6468 1
Bi4 Bi 0.4436 0.5784 0.8532 1
O1 O 0.1397 0.2542 0.1034 1
O2 O 0.8603 0.7542 0.3966 1
O3 O 0.3603 0.7458 0.6034 1
O4 O 0.6397 0.2458 0.8966 1
P1 P 0.3740 0.8289 0.1331 1
P2 P 0.6260 0.3289 0.3669 1
P3 P 0.1260 0.1711 0.6331 1
P4 P 0.8740 0.6711 0.8669 1
Zn1 Zn 0.4650 0.1619 0.1159 1
Zn2 Zn 0.5350 0.6619 0.3841 1
Zn3 Zn 0.0350 0.8381 0.6159 1
Zn4 Zn 0.9650 0.3381 0.8841 1
```

Version 2
Computed, not measured: a relaxed structure of ZnBiPO at the PBE-GGA level of DFT.

```
data_ZnBiPO
_chemical_formula_sum 'Zn4 Bi4 P4 O4'
_symmetry_space_group_name_H-M 'P 1'
_symmetry_Int_Tables_number 1
_symmetry_space_group_name_Hall 'P 1'
_cell_length_a 5.9409
_cell_length_b 5.9926
_cell_length_c 8.6824
_cell_angle_alpha 90.00
_cell_angle_beta 90.00
_cell_angle_gamma 90.00
loop_
_atom_site_label
_atom_site_type_symbol
_atom_site_fract_x
_atom_site_fract_y
_atom_site_fract_z
_atom_site_occupancy
Bi1 Bi 0.2423 0.4694 0.1719 1
Bi2 Bi 0.7423 0.5306 0.3281 1
Bi3 Bi 0.7577 0.0306 0.6719 1
Bi4 Bi 0.2577 0.9694 0.8281 1
O1 O 0.0274 0.1817 0.2391 1
O2 O 0.5274 0.8183 0.2609 1
O3 O 0.9726 0.3183 0.7391 1
O4 O 0.4726 0.6817 0.7609 1
P1 P 0.9694 0.7342 0.0023 1
P2 P 0.4694 0.2658 0.4977 1
P3 P 0.0306 0.7658 0.5023 1
P4 P 0.5306 0.2342 0.9977 1
Zn1 Zn 0.7664 0.0070 0.1485 1
Zn2 Zn 0.2664 0.9930 0.3515 1
Zn3 Zn 0.2336 0.4930 0.6485 1
Zn4 Zn 0.7336 0.5070 0.8515 1
```

Version 3
Computed, not measured: a relaxed structure of ZnBiPO at the PBE-GGA level of DFT.

```
data_ZnBiPO
_chemical_formula_sum 'Zn2 Bi2 P2 O2'
_symmetry_space_group_name_H-M 'P 1'
_symmetry_Int_Tables_number 1
_symmetry_space_group_name_Hall 'P 1'
_cell_length_a 3.6380
_cell_length_b 6.6583
_cell_length_c 6.5397
_cell_angle_alpha 90.00
_cell_angle_beta 90.00
_cell_angle_gamma 90.00
loop_
_atom_site_label
_atom_site_type_symbol
_atom_site_fract_x
_atom_site_fract_y
_atom_site_fract_z
_atom_site_occupancy
Bi1 Bi 0.0000 0.3948 0.0537 1
Bi2 Bi 0.0000 0.6052 0.5537 1
O1 O 0.0000 0.2537 0.3741 1
O2 O 0.0000 0.7463 0.8741 1
P1 P 0.5000 0.8090 0.3480 1
P2 P 0.5000 0.1910 0.8480 1
Zn1 Zn 0.5000 0.1413 0.4781 1
Zn2 Zn 0.5000 0.8587 0.9781 1
```

Last place for stability: version 2